(1)
Entry from the Alexandria database: crystalline Pr6Mg5Ag at its relaxed geometry (PBE-GGA).

Calculated values
- theoretical density (kg/m³) = 5051
- space group = P2/m
- formation enthalpy at 0 K (eV/f.u.) = -1.5
- volume (Å³ per atom) = 29.4

Cell lengths 5.4995, 7.7898, 8.6894 Å; angles 90.00, 71.67, 90.00 degrees
Positions (direct):
Mg 0.0000 0.5000 0.0000
Pr 0.5000 0.7538 0.0000
Pr 0.8358 0.2506 0.3279
Mg 0.6731 0.0000 0.6541
Pr 0.5000 0.2462 0.0000
Pr 0.1642 0.7494 0.6721
Pr 0.8358 0.7494 0.3279
Ag 0.0000 0.0000 0.0000
Pr 0.1642 0.2506 0.6721
Mg 0.3312 0.5000 0.3362
Mg 0.3269 0.0000 0.3459
Mg 0.6688 0.5000 0.6638

(2)
Entry from the Alexandria database: crystalline PrMg9Ag2 at its relaxed geometry (PBE-GGA).

Calculated values
- theoretical density (kg/m³) = 3499
- space group = I4_1/amd
- formation enthalpy at 0 K (eV/f.u.) = -1.6
- volume (Å³ per atom) = 22.8

Cell lengths 7.6134, 9.2858, 9.2858 Å; angles 80.33, 65.80, 65.80 degrees
Positions (direct):
Mg 0.7431 0.5778 0.8215
Ag 0.8750 0.2500 0.2500
Mg 0.6076 0.3215 0.0778
Mg 0.1424 0.1785 0.4222
Mg 0.0069 0.6785 0.9222
Ag 0.8750 0.7500 0.2500
Pr 0.5000 0.0000 0.0000
Ag 0.3750 0.7500 0.7500
Mg 0.7431 0.8215 0.5778
Mg 0.0709 0.3215 0.9222
Mg 0.0709 0.9222 0.3215
Ag 0.8750 0.2500 0.7500
Mg 0.6791 0.1785 0.5778
Mg 0.0000 0.0000 0.0000
Mg 0.6076 0.0778 0.3215
Mg 0.4354 0.4222 0.8215
Mg 0.4354 0.8215 0.4222
Pr 0.2500 0.5000 0.5000
Mg 0.1424 0.4222 0.1785
Mg 0.6791 0.5778 0.1785
Mg 0.3146 0.0778 0.6785
Mg 0.7500 0.5000 0.5000
Mg 0.0069 0.9222 0.6785
Mg 0.3146 0.6785 0.0778

(3)
Entry from the Alexandria database: crystalline PrMgAg2 at its relaxed geometry (PBE-GGA).

Calculated values
- theoretical density (kg/m³) = 6799
- space group = P4/mmm
- formation enthalpy at 0 K (eV/f.u.) = -0.5
- volume (Å³ per atom) = 23.3

Cell lengths 3.3663, 5.2572, 5.2572 Å; angles 90.00, 90.00, 90.00 degrees
Positions (direct):
Ag 0.0000 0.5000 0.0000
Pr 0.5000 0.5000 0.5000
Ag 0.0000 0.0000 0.5000
Mg 0.5000 0.0000 0.0000

(4)
Entry from the Alexandria database: crystalline Pr6MgAg3 at its relaxed geometry (PBE-GGA).

Calculated values
- theoretical density (kg/m³) = 6556
- space group = Cmc2_1
- formation enthalpy at 0 K (eV/f.u.) = -0.5
- volume (Å³ per atom) = 30.2

Cell lengths 6.7615, 9.6576, 9.6576 Å; angles 106.55, 90.00, 90.00 degrees
Positions (direct):
Pr 0.6051 0.2766 0.3230
Pr 0.3094 0.0492 0.4538
Ag 0.7584 0.6013 0.3987
Pr 0.1051 0.7234 0.6770
Mg 0.6258 0.7876 0.2124
Ag 0.2584 0.3987 0.6013
Pr 0.8094 0.4538 0.0492
Pr 0.8094 0.9508 0.5462
Pr 0.2915 0.9455 0.0545
Pr 0.3094 0.5462 0.9508
Ag 0.4084 0.2543 0.0104
Pr 0.7915 0.0545 0.9455
Pr 0.1051 0.3230 0.2766
Pr 0.1638 0.6986 0.3014
Pr 0.6051 0.6770 0.7234
Ag 0.9084 0.0104 0.2543
Ag 0.4084 0.9896 0.7457
Mg 0.1258 0.2124 0.7876
Ag 0.9084 0.7457 0.9896
Pr 0.6638 0.3014 0.6986

(5)
Entry from the Alexandria database: crystalline PrMg3Ag2 at its relaxed geometry (PBE-GGA).

Calculated values
- theoretical density (kg/m³) = 5036
- space group = C2/m
- formation enthalpy at 0 K (eV/f.u.) = -1.0
- volume (Å³ per atom) = 23.6

Cell lengths 4.6400, 8.8577, 8.2769 Å; angles 119.20, 90.00, 105.18 degrees
Positions (direct):
Mg 0.3842 0.7685 0.2731
Ag 0.7849 0.5698 0.2572
Pr 0.8668 0.7337 0.9415
Mg 0.0523 0.1045 0.3952
Mg 0.6916 0.3833 0.4646
Pr 0.1332 0.2663 0.0585
Ag 0.2151 0.4302 0.7428
Ag 0.5177 0.0353 0.1807
Mg 0.6158 0.2315 0.7269
Mg 0.3084 0.6167 0.5354
Mg 0.9477 0.8955 0.6048
Ag 0.4823 0.9647 0.8193

(6)
Entry from the Alexandria database: crystalline Pr2MgAg3 at its relaxed geometry (PBE-GGA).

Calculated values
- theoretical density (kg/m³) = 7078
- space group = P-3m1
- formation enthalpy at 0 K (eV/f.u.) = -1.5
- volume (Å³ per atom) = 24.6
- excess energy over the best structure of this formula in the dataset (eV per atom) = 0.0000

Cell lengths 5.2020, 5.2020, 12.6083 Å; angles 90.00, 90.00, 120.00 degrees
Positions (direct):
Mg 0.6667 0.3333 0.3370
Ag 0.3333 0.6667 0.9086
Ag 0.0000 0.0000 0.7460
Pr 0.0000 0.0000 0.5000
Ag 0.0000 0.0000 0.2540
Ag 0.3333 0.6667 0.4278
Ag 0.6667 0.3333 0.5722
Pr 0.0000 0.0000 0.0000
Pr 0.3333 0.6667 0.1812
Ag 0.6667 0.3333 0.0914
Mg 0.3333 0.6667 0.6630
Pr 0.6667 0.3333 0.8188

(7)
Entry from the Alexandria database: crystalline Pr5Mg2Ag12 at its relaxed geometry (PBE-GGA).

Calculated values
- theoretical density (kg/m³) = 7706
- space group = C2/m
- formation enthalpy at 0 K (eV/f.u.) = -3.6
- volume (Å³ per atom) = 23.2

Cell lengths 7.1632, 7.5942, 8.9597 Å; angles 64.93, 88.18, 90.00 degrees
Positions (direct):
Ag 0.3471 0.4103 0.7914
Ag 0.2476 0.0466 0.2860
Pr 0.0395 0.6994 0.6011
Ag 0.6529 0.5897 0.2086
Ag 0.6858 0.5504 0.8992
Pr 0.5630 0.7546 0.4908
Ag 0.7524 0.3326 0.7140
Ag 0.2476 0.6674 0.2860
Ag 0.6529 0.2017 0.2086
Ag 0.0972 0.1101 0.7799
Ag 0.7524 0.9534 0.7140
Pr 0.9605 0.3006 0.3989
Pr 0.5000 0.0000 0.0000
Ag 0.3142 0.4496 0.1008
Pr 0.4370 0.2454 0.5092
Ag 0.9028 0.8899 0.2201
Ag 0.3471 0.7983 0.7914
Mg 0.0000 0.7221 0.0000
Mg 0.0000 0.2779 0.0000

(8)
Entry from the Alexandria database: crystalline PrMg2Ag3 at its relaxed geometry (PBE-GGA).

Calculated values
- theoretical density (kg/m³) = 6414
- space group = P6_3/mmc
- formation enthalpy at 0 K (eV/f.u.) = -1.5
- volume (Å³ per atom) = 22.1

Cell lengths 4.7987, 4.7987, 13.3226 Å; angles 90.00, 90.00, 120.00 degrees
Positions (direct):
Ag 0.6667 0.3333 0.6349
Pr 0.0000 0.0000 0.2500
Ag 0.3333 0.6667 0.1349
Mg 0.6667 0.3333 0.4247
Mg 0.3333 0.6667 0.9247
Ag 0.0000 0.0000 0.0000
Ag 0.3333 0.6667 0.3651
Mg 0.6667 0.3333 0.0753
Pr 0.0000 0.0000 0.7500
Ag 0.6667 0.3333 0.8651
Ag 0.0000 0.0000 0.5000
Mg 0.3333 0.6667 0.5753